This record from the Alexandria database describes an optimized crystal structure of LaIr2Os. The functional is GGA-PBE.

The structure in POSCAR format:
```
LaIr2Os
1.0
4.9610 0.0000 0.0000
0.0000 4.9610 0.0000
0.0000 0.0000 2.9005
La Ir Os
1 2 1
Direct
0.0000 0.0000 0.0000 La
0.0000 0.5000 0.5000 Ir
0.5000 0.0000 0.5000 Ir
0.5000 0.5000 0.0000 Os
```

Results
SG: No. 123
ΔE to the lowest computed polymorph: 18.3 kJ/mol of atoms
Calculated formation energy: 0.235 eV per atom